1.
## Nd5Y4In (PBE)

Data for a relaxed Nd5Y4In crystal.

a = 10.6900 Å, b = 10.6900 Å, c = 5.9987 Å
α = 90.00°, β = 90.00°, γ = 90.00°
Space group I4mm (No. 107)
Unique sites:
Nd: 0.0000 0.0000 0.0000 x2
Nd: 0.1870 0.1870 0.2784 x8
Y: 0.0000 0.3173 0.7844 x8
In: 0.0000 0.0000 0.5205 x2

Summary:
The value obtained for the energy of formation from the pure elements is 1.24 eV/f.u. The total energy comes out at -0.1881 hartree per atom. The density of states at the Fermi level comes out at 27.87 states/eV per cell. The energy above the most stable polymorph in this dataset is 0.095 eV/atom. For the spin magnetization, the calculation gives 0.0 μB/f.u.

2.
## BiAsI (PBE)

Data for a relaxed BiAsI crystal.

a = 4.3978 Å, b = 4.6187 Å, c = 10.4447 Å
α = 91.14°, β = 90.20°, γ = 93.57°
Space group P-1 (No. 2)
Unique sites:
Bi: 0.2088 0.1346 0.3146 x2
As: 0.2523 0.7147 0.5047 x2
I: 0.2664 0.2723 0.8381 x2

Summary:
The total energy comes out at -0.1270 hartree per atom. The density of states at the Fermi level comes out at 1.63 states/eV per cell. The energy above the most stable polymorph in this dataset is 0.000 eV/atom. For the spin magnetization, the calculation gives 0.0 μB/f.u.

3.
## Ga4Cu15Au (PBE)

Data for a relaxed Ga4Cu15Au crystal.

a = 3.7567 Å, b = 3.7567 Å, c = 18.1890 Å
α = 90.00°, β = 90.00°, γ = 90.00°
Space group P4/mmm (No. 123)
Unique sites:
Ga: 0.0000 0.0000 0.0989 x2
Ga: 0.0000 0.0000 0.2975 x2
Cu: 0.0000 0.5000 0.0000 x2
Cu: 0.0000 0.5000 0.1976 x4
Cu: 0.0000 0.5000 0.3944 x4
Cu: 0.5000 0.5000 0.0989 x2
Cu: 0.5000 0.5000 0.2953 x2
Cu: 0.5000 0.5000 0.5000 x1
Au: 0.0000 0.0000 0.5000 x1

Summary:
The value obtained for the energy of formation from the pure elements is -1.76 eV/f.u. The total energy comes out at -0.1444 hartree per atom. The density of states at the Fermi level comes out at 4.15 states/eV per cell. For the spin magnetization, the calculation gives 0.0 μB/f.u.

4.
## Sn4HgPb3 (PBE)

Data for a relaxed Sn4HgPb3 crystal.

a = 22.4551 Å, b = 3.4627 Å, c = 5.9627 Å
α = 90.00°, β = 93.85°, γ = 90.00°
Space group C2/m (No. 12)
Unique sites:
Sn: 0.1212 0.0000 0.3792 x4
Sn: 0.1244 0.5000 0.8592 x4
Hg: 0.0000 0.5000 0.5000 x2
Pb: 0.0000 0.0000 0.0000 x2
Pb: 0.2460 0.5000 0.2481 x4

Summary:
The value obtained for the energy of formation from the pure elements is 0.39 eV/f.u. The total energy comes out at -0.1242 hartree per atom. The density of states at the Fermi level comes out at 8.97 states/eV per cell. For the spin magnetization, the calculation gives 0.0 μB/f.u.

5.
## Sc4TeSe2 (PBE)

Data for a relaxed Sc4TeSe2 crystal.

a = 3.8219 Å, b = 12.6680 Å, c = 12.9484 Å
α = 90.00°, β = 90.00°, γ = 90.00°
Space group Cmcm (No. 63)
Unique sites:
Sc: 0.0000 0.0000 0.0000 x4
Sc: 0.0000 0.2737 0.1240 x8
Sc: 0.0000 0.4219 0.7500 x4
Te: 0.0000 0.0970 0.7500 x4
Se: 0.0000 0.3623 0.5587 x8

Summary:
The total energy comes out at -0.2309 hartree per atom. The density of states at the Fermi level comes out at 14.55 states/eV per cell. The energy above the most stable polymorph in this dataset is 0.000 eV/atom. For the spin magnetization, the calculation gives 0.0 μB/f.u.

6.
## La2CoSb (PBE)

Data for a relaxed La2CoSb crystal.

a = 4.2615 Å, b = 4.4156 Å, c = 11.5421 Å
α = 90.00°, β = 90.00°, γ = 90.00°
Space group Amm2 (No. 38)
Unique sites:
La: 0.0000 0.0000 0.0000 x2
La: 0.5000 0.0000 0.2927 x2
Co: 0.5000 0.0000 0.5481 x2
Sb: 0.0000 0.0000 0.7033 x2

Summary:
The total energy comes out at -0.2139 hartree per atom. The density of states at the Fermi level comes out at 4.54 states/eV per cell. The energy above the most stable polymorph in this dataset is 0.000 eV/atom. For the spin magnetization, the calculation gives 0.0 μB/f.u.